1.
Material: NdDy3Ni8
Method: DFT, PBE-GGA
State: relaxed

a b c (Å): 5.0856 5.0856 8.8349
angles (deg): 73.27 73.27 60.00
Closest atoms and distances in Å follow each position.
Sites, in units of the cell vectors:
Dy  0.0004  0.0004  0.9987  12 Ni 2.95-2.98, 3 Dy 3.11, 1 Nd 3.13
Dy  0.3749  0.3749  0.8753  12 Ni 2.96-2.98, 4 Dy 3.11
Dy  0.4993  0.4993  0.5022  12 Ni 2.98-3.03, 1 Dy 3.11, 3 Nd 3.12
Ni  0.9390  0.4385  0.1840  6 Ni 2.53-2.58
Ni  0.9377  0.4340  0.6905  6 Ni 2.52-2.56
Ni  0.9377  0.9377  0.6905  6 Ni 2.52-2.56
Ni  0.6876  0.6876  0.9373  6 Ni 2.53
Ni  0.4385  0.9390  0.1840  6 Ni 2.53-2.58
Ni  0.4340  0.9377  0.6905  6 Ni 2.52-2.56
Ni  0.1872  0.1872  0.4385  6 Ni 2.56-2.58
Ni  0.4385  0.4385  0.1840  6 Ni 2.53-2.58
Nd  0.8752  0.8752  0.3745  12 Ni 2.98-3.02, 4 Dy 3.12-3.13

Output
Symmetry: R3m
Energy of formation from the pure elements in eV per atom: -0.413

2.
Material: TiBeCu2Br
Method: DFT, PBE-GGA
State: relaxed

a b c (Å): 4.7982 4.8863 4.7982
angles (deg): 90.00 90.00 90.00
Closest atoms and distances in Å follow each position.
Sites, in units of the cell vectors:
Cu  0.0000  0.0000  0.5000  2 Ti 2.40
Cu  0.5000  0.0000  0.0000  2 Ti 2.40
Br  0.5000  0.5000  0.5000  4 Be 3.39, 8 Cu 3.42
Ti  0.0000  0.0000  0.0000  4 Cu 2.40, 2 Be 2.44
Be  0.0000  0.5000  0.0000  2 Ti 2.44

Output
Symmetry: P4/mmm
Raw formation energy in eV/atom: 1.318